# K2ScGeSe4

An optimized crystal structure of K2ScGeSe4 (PBE-GGA, Alexandria via LeMat-Bulk).

## Properties
The total magnetization is 0.00 μB per cell. As for the symmetry: Imma (74). The value obtained for the formation energy from raw total energies is -1026 meV per atom.

The structure in extended XYZ format:
```
16
Lattice="-4.184 4.259 5.949 4.184 -4.259 5.949 4.184 4.259 -5.949" Properties=species:S:1:pos:R:3 pbc="T T T"
K 0.000 0.000 0.000
K -2.092 2.130 2.975
K 0.000 4.259 0.000
K 2.092 2.130 2.975
Sc 2.092 2.130 -2.975
Sc 2.092 -2.130 2.975
Ge 4.184 0.000 0.000
Ge 0.000 0.000 5.949
Se 4.184 -0.298 2.773
Se 2.379 2.130 -0.232
Se 5.989 2.130 -0.232
Se 4.184 3.962 -2.773
Se 0.000 0.298 8.722
Se -1.805 2.130 6.182
Se 1.805 2.130 6.182
Se 0.000 4.557 3.177
```